(1)
UNb2Cu | GGA-PBE | relaxed Values from VASP.

```
&SYSTEM
  ibrav = 0, nat = 4, ntyp = 3
/
ATOMIC_SPECIES
Nb 92.91 Nb.upf
U 238.03 U.upf
Cu 63.55 Cu.upf
CELL_PARAMETERS angstrom
-0.8040 -3.0476 -1.4870
-1.1876 -1.6483 4.0203
-4.2190 1.4342 -0.6583
ATOMIC_POSITIONS crystal
Nb 0.0000 0.0000 0.5000
Nb 0.0000 0.5000 0.0000
U 0.5000 0.0000 0.0000
Cu 0.5000 0.5000 0.5000
```

Summary:
Total magnetic moment: 0.4 μB per cell
VASP energy: -34.61 eV for the cell shown
Formation energy: 22.0 kJ/mol of atoms
Energy above the lowest structure with this stoichiometry: 0 meV/atom

=====

(2)
Rb3LiCl4 | GGA-PBE | relaxed Values from VASP.

```
&SYSTEM
  ibrav = 0, nat = 32, ntyp = 3
/
ATOMIC_SPECIES
Cl 35.45 Cl.upf
Rb 85.47 Rb.upf
Li 6.94 Li.upf
CELL_PARAMETERS angstrom
9.2639 0.0000 0.0000
0.0000 9.7466 0.0000
0.0000 0.0000 11.3093
ATOMIC_POSITIONS crystal
Cl 0.1760 0.9594 0.5672
Cl 0.6760 0.5406 0.9328
Cl 0.8240 0.0406 0.0672
Cl 0.3240 0.4594 0.4328
Cl 0.8240 0.0406 0.4328
Cl 0.3240 0.4594 0.0672
Cl 0.1760 0.9594 0.9328
Cl 0.6760 0.5406 0.5672
Cl 0.3038 0.2569 0.7500
Cl 0.8038 0.2431 0.7500
Cl 0.6962 0.7431 0.2500
Cl 0.1962 0.7569 0.2500
Cl 0.5178 0.9064 0.7500
Cl 0.0178 0.5936 0.7500
Cl 0.4822 0.0936 0.2500
Cl 0.9822 0.4064 0.2500
Rb 0.3793 0.5775 0.7500
Rb 0.8793 0.9225 0.7500
Rb 0.6207 0.4225 0.2500
Rb 0.1207 0.0775 0.2500
Rb 0.4542 0.7912 0.0477
Rb 0.9542 0.7088 0.4523
Rb 0.5458 0.2088 0.5477
Rb 0.0458 0.2912 0.9523
Rb 0.5458 0.2088 0.9523
Rb 0.0458 0.2912 0.5477
Rb 0.4542 0.7912 0.4523
Rb 0.9542 0.7088 0.0477
Li 0.2872 0.0133 0.7500
Li 0.7872 0.4867 0.7500
Li 0.7128 0.9867 0.2500
Li 0.2128 0.5133 0.2500
```

Summary:
Total magnetic moment: 0.1 μB per cell
VASP energy: -108.96 eV for the cell shown
Formation energy from raw total energies: -15.04 eV/f.u.

=====

(3)
ZrCdTeO5 | GGA-PBE | relaxed Values from VASP.

```
&SYSTEM
  ibrav = 0, nat = 16, ntyp = 4
/
ATOMIC_SPECIES
Zr 91.22 Zr.upf
Cd 112.41 Cd.upf
Te 127.60 Te.upf
O 16.00 O.upf
CELL_PARAMETERS angstrom
5.9791 0.5777 -0.1976
-1.1928 5.8873 -0.1976
-2.2381 -3.0231 7.3780
ATOMIC_POSITIONS crystal
Zr 0.0000 0.0000 0.5000
Zr 0.0000 0.0000 0.0000
Cd 0.3085 0.6915 0.2500
Cd 0.6915 0.3085 0.7500
Te 0.6837 0.3163 0.2500
Te 0.3163 0.6837 0.7500
O 0.0042 0.9958 0.2500
O 0.9958 0.0042 0.7500
O 0.7880 0.2687 0.0167
O 0.2120 0.7313 0.9833
O 0.7313 0.2120 0.4833
O 0.2687 0.7880 0.5167
O 0.7168 0.6619 0.3516
O 0.2832 0.3381 0.6484
O 0.3381 0.2832 0.1484
O 0.6619 0.7168 0.8516
```

Summary:
Total magnetic moment: 0.0 μB per cell
VASP energy: -103.52 eV for the cell shown
Formation energy from raw total energies: -14.36 eV/f.u.